Here is a relaxed Pu2ZnCdAs4 crystal from the Open Quantum Materials Database. Energies are from PBE.

The structure in POSCAR format:
```
Pu2ZnCdAs4
1.0
-3.130 3.130 6.121
3.130 -3.130 6.121
3.130 3.130 -6.121
Pu Zn Cd As
2 1 1 4
Cartesian
0.000 0.000 0.000
0.000 3.130 3.060
0.000 0.000 6.121
3.130 0.000 3.060
1.476 -1.404 4.677
1.727 1.655 1.443
1.655 4.534 -1.443
1.404 1.476 7.564
```

Calculated values
The space group is I-4, No. 82.



Here is a relaxed SrPmCo crystal from the Open Quantum Materials Database. Energies are from PBE.

The structure in POSCAR format:
```
SrPmCo
1.0
0.000 3.490 3.490
3.490 0.000 3.490
3.490 3.490 0.000
Sr Pm Co
1 1 1
Cartesian
0.000 0.000 0.000
3.490 3.490 3.490
5.234 5.234 5.234
```

Calculated values
The space group is F-43m, No. 216.



Here is a relaxed Lu2Fe12P7 crystal from the Open Quantum Materials Database. Energies are from PBE.

The structure in POSCAR format:
```
Lu2Fe12P7
1.0
8.912 0.000 0.000
-4.456 7.718 0.000
0.000 0.000 3.605
Lu Fe P
2 12 7
Cartesian
0.000 0.000 0.000
0.000 5.145 1.803
-3.043 5.877 1.803
-0.816 2.947 0.000
0.888 2.144 1.803
-1.496 6.951 0.000
2.953 1.838 0.000
4.288 0.444 1.803
2.696 3.783 1.803
2.312 5.538 0.000
2.155 7.415 1.803
5.843 1.639 0.000
4.571 4.241 0.000
6.384 3.491 1.803
-2.145 4.808 0.000
2.099 0.295 1.803
1.364 3.456 0.000
0.781 7.172 0.000
4.456 2.573 1.803
3.662 5.753 1.803
7.607 1.670 1.803
```

Calculated values
The space group is P-6, No. 174.



Here is a relaxed TbTmSb crystal from the Open Quantum Materials Database. Energies are from PBE.

The structure in POSCAR format:
```
TbTmSb
1.0
0.000 3.570 3.570
3.570 0.000 3.570
3.570 3.570 0.000
Tb Tm Sb
1 1 1
Cartesian
0.000 0.000 0.000
3.570 3.570 3.570
1.785 1.785 1.785
```

Calculated values
The space group is F-43m, No. 216.



Here is a relaxed SrLaTe2AuSe crystal from the Open Quantum Materials Database. Energies are from PBE.

The structure in POSCAR format:
```
SrLaTe2AuSe
1.0
2.211 -7.378 0.000
2.211 7.378 0.000
0.000 0.000 11.142
Sr La Te Au Se
2 2 4 2 2
Cartesian
2.211 3.898 8.356
2.211 -3.898 2.785
2.211 0.000 0.000
2.211 0.000 5.571
2.211 5.123 0.706
2.211 5.123 4.865
2.211 -5.123 6.277
2.211 -5.123 10.436
2.211 6.962 2.785
2.211 -6.962 8.356
2.211 1.215 2.785
2.211 -1.215 8.356
```

Calculated values
The space group is Cmcm, No. 63.



Here is a relaxed PmHgW crystal from the Open Quantum Materials Database. Energies are from PBE.

The structure in POSCAR format:
```
PmHgW
1.0
0.000 3.435 3.435
3.435 0.000 3.435
3.435 3.435 0.000
Pm Hg W
1 1 1
Cartesian
0.000 0.000 0.000
3.435 3.435 3.435
5.152 5.152 5.152
```

Calculated values
The formation energy is 1.051 eV per atom. The space group is F-43m, No. 216.



Here is a relaxed BaSmPb2 crystal from the Open Quantum Materials Database. Energies are from PBE.

The structure in POSCAR format:
```
BaSmPb2
1.0
4.615 0.000 0.000
0.000 2.487 6.296
0.000 -2.487 6.296
Ba Sm Pb
1 1 2
Cartesian
0.000 0.000 0.000
2.308 0.000 3.321
0.000 0.000 9.223
2.308 0.000 7.067
```

Calculated values
The space group is Amm2, No. 38.



Here is a relaxed Gd4SnC2S crystal from the Open Quantum Materials Database. Energies are from PBE.

The structure in POSCAR format:
```
Gd4SnC2S
1.0
3.712 0.000 0.000
-1.856 3.215 0.000
0.000 0.000 14.579
Gd Sn C S
4 1 2 1
Cartesian
0.000 0.000 1.901
0.000 0.000 12.677
0.000 2.143 4.639
0.000 2.143 9.939
0.000 0.000 7.289
1.856 1.072 3.300
1.856 1.072 11.278
0.000 2.143 0.000
```

Calculated values
The space group is P-6m2, No. 187.



Number 1: volume 239.9 Å³ per cell, energy -6.24 eV/atom. Number 2: volume 85.0 Å³ per cell, energy -4.20 eV/atom. Number 3: volume 248.0 Å³ per cell, energy -7.71 eV/atom. Number 4: volume 91.0 Å³ per cell, energy -4.90 eV/atom. Number 5: volume 363.5 Å³ per cell, energy -4.63 eV/atom. Number 6: volume 81.0 Å³ per cell, energy -4.95 eV/atom. Number 7: volume 144.5 Å³ per cell, energy -3.95 eV/atom. Number 8: volume 174.0 Å³ per cell, energy -6.49 eV/atom.